Compound: MnPdPb
Source: the Alexandria database
Functional: PBE
Structure: relaxed

a = 8.093 Å, b = 3.428 Å, c = 9.673 Å
α = 90.00°, β = 112.54°, γ = 90.00°
Atoms (fractional coordinates):
Mn 0.588 0.000 0.771
Mn 0.588 0.500 0.271
Mn 0.400 0.000 0.991
Mn 0.400 0.500 0.491
Pd 0.340 0.000 0.267
Pd 0.340 0.500 0.767
Pd 0.045 0.000 0.780
Pd 0.045 0.500 0.280
Pb 0.110 0.000 0.521
Pb 0.110 0.500 0.021
Pb 0.766 0.000 0.102
Pb 0.766 0.500 0.602

Space group: Cm, No. 8
Spin magnetization: 4.1 μB/f.u.
E above lowest polymorph: 106 meV/atom